A plane-wave DFT calculation with PBE was carried out for a relaxed Mn2FeTcN crystal.

CIF file:
```
data_Mn2FeTcN
_chemical_formula_sum 'Mn2 Fe1 Tc1 N1'
_space_group_name_H-M_alt 'P 4/m m m'
_space_group_IT_number 123
_space_group_name_Hall '-P 4 2'
_cell_length_a 3.750
_cell_length_b 3.750
_cell_length_c 4.000
_cell_angle_alpha 90.00
_cell_angle_beta 90.00
_cell_angle_gamma 90.00
loop_
_atom_site_label
_atom_site_type_symbol
_atom_site_fract_x
_atom_site_fract_y
_atom_site_fract_z
Mn1 Mn 0.000 0.500 0.000
Fe1 Fe 0.000 0.000 0.500
Tc1 Tc 0.500 0.500 0.500
N1 N 0.500 0.500 0.000
```

Total magnetic moment, μB per atom: 0.348
Excess energy over the best structure of this formula in the dataset, eV/atom: 0.000